*a*
! Mg2Mn3O7 PBE+U optimized geometry; values from VASP
! Crystal system: triclinic
! Magnetic moment (Bohr magnetons per cell): 26.000
&SYSTEM
  ibrav = 0, nat = 24, ntyp = 3
/
ATOMIC_SPECIES
Mg 24.30 Mg.upf
Mn 54.94 Mn.upf
O 16.00 O.upf
ATOMIC_POSITIONS crystal
Mg 0.309 0.560 0.498
Mg 0.006 0.512 0.814
Mg 0.994 0.488 0.186
Mg 0.691 0.440 0.502
Mn 0.158 0.979 0.803
Mn 0.735 0.043 0.667
Mn 0.558 0.472 0.162
Mn 0.442 0.528 0.838
Mn 0.265 0.957 0.333
Mn 0.842 0.021 0.197
O 0.846 0.198 0.501
O 0.437 0.705 0.133
O 0.567 0.683 0.461
O 0.867 0.734 0.764
O 0.754 0.319 0.221
O 0.984 0.757 0.134
O 0.715 0.820 0.900
O 0.285 0.180 0.100
O 0.016 0.243 0.866
O 0.246 0.681 0.779
O 0.133 0.266 0.236
O 0.433 0.317 0.539
O 0.563 0.295 0.867
O 0.154 0.802 0.499
CELL_PARAMETERS angstrom
7.034 0.512 0.869
-1.339 6.250 -0.725
-0.935 -3.941 6.690

=====

*b*
! Mg2Mn3O7 PBE+U optimized geometry; values from VASP
! Crystal system: triclinic
! Magnetic moment (Bohr magnetons per cell): 22.000
&SYSTEM
  ibrav = 0, nat = 24, ntyp = 3
/
ATOMIC_SPECIES
Mg 24.30 Mg.upf
Mn 54.94 Mn.upf
O 16.00 O.upf
ATOMIC_POSITIONS crystal
Mg 0.306 0.675 0.464
Mg 0.341 0.844 0.063
Mg 0.659 0.156 0.937
Mg 0.694 0.325 0.536
Mn 0.217 0.221 0.642
Mn 0.082 0.069 0.222
Mn 0.638 0.641 0.922
Mn 0.362 0.359 0.078
Mn 0.918 0.931 0.778
Mn 0.783 0.779 0.358
O 0.116 0.890 0.411
O 0.317 0.536 0.883
O 0.142 0.341 0.422
O 0.020 0.222 0.007
O 0.303 0.084 0.876
O 0.569 0.828 0.743
O 0.436 0.656 0.269
O 0.564 0.344 0.731
O 0.431 0.172 0.257
O 0.697 0.916 0.124
O 0.980 0.778 0.993
O 0.858 0.659 0.578
O 0.683 0.464 0.117
O 0.884 0.110 0.589
CELL_PARAMETERS angstrom
6.651 0.003 -0.001
-1.445 5.911 -0.006
-3.312 -2.079 6.815

=====

Among the structures above, stability is greatest for *b*.